No. 1
Entry from Alexandria: an optimized crystal structure of NaTlS2 (GGA-PBE).

Computed properties:
The calculation puts the total DFT energy (no corrections) at -3.4927 eV per atom. The density of states at the Fermi level is 0.000 states/eV/atom.

POSCAR file:
```
NaTlS2
1.0
4.229 0.000 0.000
-1.348 6.933 0.000
-1.129 -2.164 7.648
Na Tl S
2 2 4
Direct
0.000 0.000 0.000
0.137 0.533 0.948
0.555 0.572 0.383
0.728 0.104 0.416
0.111 0.810 0.264
0.356 0.043 0.725
0.446 0.770 0.749
0.568 0.262 0.964
```


No. 2
Entry from Alexandria: an optimized crystal structure of CuTe2W (GGA-PBE).

Computed properties:
The polymorph energy (0 for the lowest one) comes out at 340 meV per atom. The density of states at the Fermi level is 0.944 states/eV/atom.

POSCAR file:
```
CuTe2W
1.0
0.000 3.396 3.407
3.350 0.000 3.407
3.350 3.396 0.000
Cu Te W
1 2 1
Direct
0.000 0.000 0.000
0.250 0.250 0.250
0.750 0.750 0.750
0.500 0.500 0.500
```


No. 3
Entry from Alexandria: an optimized crystal structure of Hf2ScS6 (GGA-PBE).

Computed properties:
The calculation puts the total DFT energy (no corrections) at -7.0729 eV per atom. The density of states at the Fermi level is 0.651 states/eV/atom.

POSCAR file:
```
Hf2ScS6
1.0
6.061 0.000 0.000
0.000 6.061 0.000
0.000 0.000 11.193
Hf Sc S
4 2 12
Direct
0.000 0.000 0.166
0.000 0.000 0.834
0.500 0.500 0.334
0.500 0.500 0.666
0.000 0.000 0.500
0.500 0.500 0.000
0.198 0.198 0.000
0.201 0.201 0.331
0.201 0.201 0.669
0.299 0.701 0.169
0.299 0.701 0.831
0.302 0.698 0.500
0.698 0.302 0.500
0.701 0.299 0.169
0.701 0.299 0.831
0.799 0.799 0.331
0.799 0.799 0.669
0.802 0.802 0.000
```


In the order shown, the computed theoretical density values come out to 4317 10766 4800 kg/m³.
In the order shown, the computed size of the total moment values come out to 0.00 0.64 0.00 μB per formula unit.